Entry 1:
VASP calculation (PBE) on crystalline Li2Pt at its relaxed geometry.

Properties
M_tot ... 0.000 μB/atom
ΔE to the lowest computed polymorph ... 15 meV/atom

Structure (CIF):
```
data_Li2Pt
_cell_length_a 4.2193
_cell_length_b 4.2193
_cell_length_c 2.6670
_cell_angle_alpha 90.00
_cell_angle_beta 90.00
_cell_angle_gamma 120.00
_symmetry_space_group_name_H-M 'P 6/m m m'
_symmetry_Int_Tables_number 191
_symmetry_space_group_name_Hall '-P 6 2'
loop_
_atom_site_label
_atom_site_fract_x
_atom_site_fract_y
_atom_site_fract_z
Li1 0.3333 0.6667 0.0000
Pt1 0.0000 0.0000 0.5000
```

=====

Entry 2:
VASP calculation (PBE) on crystalline LiPt2 at its relaxed geometry.

Properties
M_tot ... 0.000 μB/atom
ΔE to the lowest computed polymorph ... 228 meV/atom

Structure (CIF):
```
data_LiPt2
_cell_length_a 2.713
_cell_length_b 2.713
_cell_length_c 24.023
_cell_angle_alpha 90.00
_cell_angle_beta 90.00
_cell_angle_gamma 90.00
_symmetry_space_group_name_H-M 'I 41/a m d'
_symmetry_Int_Tables_number 141
loop_
_symmetry_equiv_pos_as_xyz
'x,y,z'
'-x,-y,-z'
'-y+1/4,x+3/4,z+1/4'
'y+1/4,-x+3/4,-z+1/4'
'-x+1/2,-y,z+1/2'
'x+1/2,y,-z+1/2'
'y+1/4,-x+1/4,z+3/4'
'-y+1/4,x+1/4,-z+3/4'
'x,-y,-z'
'-x,y,z'
'-y+1/4,-x+1/4,-z+3/4'
'y+1/4,x+1/4,z+3/4'
'-x+1/2,y,-z+1/2'
'x+1/2,-y,z+1/2'
'y+1/4,x+3/4,-z+1/4'
'-y+1/4,-x+3/4,z+1/4'
'x+1/2,y+1/2,z+1/2'
'-x+1/2,-y+1/2,-z+1/2'
'-y+3/4,x+1/4,z+3/4'
'y+3/4,-x+1/4,-z+3/4'
'-x,-y+1/2,z'
'x,y+1/2,-z'
'y+3/4,-x+3/4,z+1/4'
'-y+3/4,x+3/4,-z+1/4'
'x+1/2,-y+1/2,-z+1/2'
'-x+1/2,y+1/2,z+1/2'
'-y+3/4,-x+3/4,-z+1/4'
'y+3/4,x+3/4,z+1/4'
'-x,y+1/2,-z'
'x,-y+1/2,z'
'y+3/4,x+1/4,-z+3/4'
'-y+3/4,-x+1/4,z+3/4'
loop_
_atom_site_label
_atom_site_fract_x
_atom_site_fract_y
_atom_site_fract_z
Li1 0.000 0.250 0.375
Pt1 0.000 0.250 0.799
```

=====

Among the records above, which one has the lowest ΔE to the lowest computed polymorph? Li2Pt